Record 1
Below is a relaxed structure of KBe, with properties calculated at the GGA-PBE level.

Summary:
The calculation puts the energy above the lowest structure with this stoichiometry at 358 meV per atom. Its energy relative to the elements is 942 meV per atom. As for the space group: I4/m. The value obtained for the density of states at the Fermi level is 0.53 states/eV/atom. The calculation puts the magnetization at 0.000 μB/f.u.

```
KBe
1.0
14.075 0.000 0.000
0.000 14.075 0.000
0.000 0.000 2.903
K Be
8 8
Cartesian
0.450 3.624 0.000
3.414 7.488 1.451
3.624 13.625 0.000
6.588 3.414 1.451
7.488 10.662 1.451
10.451 0.450 0.000
10.662 6.588 1.451
13.625 10.451 0.000
2.773 10.516 0.000
3.478 4.265 1.451
3.560 2.773 0.000
4.265 10.597 1.451
9.811 3.478 1.451
10.516 11.303 0.000
10.597 9.811 1.451
11.303 3.560 0.000
```

Record 2
Below is a relaxed structure of KBe, with properties calculated at the GGA-PBE level.

Summary:
The calculation puts the energy above the lowest structure with this stoichiometry at 116 meV per atom. Its energy relative to the elements is 700 meV per atom. As for the space group: C2/m. The value obtained for the density of states at the Fermi level is 0.74 states/eV/atom. The calculation puts the magnetization at 0.000 μB/f.u.

```
KBe
1.0
11.682 0.000 0.000
0.000 4.159 0.000
-3.052 0.000 5.139
K Be
4 4
Cartesian
0.002 0.000 1.740
2.787 2.079 3.399
5.843 2.079 1.740
8.628 0.000 3.399
-0.228 2.079 5.086
3.017 0.000 0.052
5.613 0.000 5.086
8.858 2.079 0.052
```

Record 3
Below is a relaxed structure of KLa2Be, with properties calculated at the GGA-PBE level.

Summary:
Its energy relative to the elements is 700 meV per atom. As for the space group: Pmmm. The value obtained for the density of states at the Fermi level is 1.01 states/eV/atom. The calculation puts the magnetization at 0.001 μB/f.u.

```
KLa2Be
1.0
3.982 0.000 0.000
0.000 5.592 0.000
0.000 0.000 5.766
K La Be
1 2 1
Cartesian
0.000 0.000 0.000
0.000 2.796 2.883
1.991 2.796 0.000
1.991 0.000 2.883
```

Record 4
Below is a relaxed structure of KLaBe3, with properties calculated at the GGA-PBE level.

Summary:
The calculation puts the energy above the lowest structure with this stoichiometry at 0 meV per atom. Its energy relative to the elements is 1504 meV per atom. As for the space group: Pm-3m. The value obtained for the density of states at the Fermi level is 1.22 states/eV/atom. The calculation puts the magnetization at 0.000 μB/f.u.

```
KLaBe3
1.0
5.534 0.000 0.000
0.000 5.534 0.000
0.000 0.000 5.534
K La Be
1 1 3
Cartesian
0.000 0.000 0.000
2.767 2.767 2.767
0.000 2.767 2.767
2.767 0.000 2.767
2.767 2.767 0.000
```

Record 5
Below is a relaxed structure of KLa4Be, with properties calculated at the GGA-PBE level.

Summary:
Its energy relative to the elements is 741 meV per atom. As for the space group: F-43m. The value obtained for the density of states at the Fermi level is 1.20 states/eV/atom. The calculation puts the magnetization at 0.000 μB/f.u.

```
KLa4Be
1.0
0.000 4.764 4.764
4.764 0.000 4.764
4.764 4.764 0.000
K La Be
1 4 1
Cartesian
0.000 0.000 0.000
5.901 3.627 3.627
3.627 5.901 3.627
3.627 3.627 5.901
5.901 5.901 5.901
2.382 2.382 2.382
```

Record 6
Below is a relaxed structure of KLa2Be, with properties calculated at the GGA-PBE level.

Summary:
Its energy relative to the elements is 496 meV per atom. As for the space group: Cm. The value obtained for the density of states at the Fermi level is 1.28 states/eV/atom. The calculation puts the magnetization at 0.012 μB/f.u.

```
KLa2Be
1.0
10.415 0.000 0.000
0.000 3.626 0.000
-2.913 0.000 8.259
K La Be
2 4 2
Cartesian
0.000 0.000 0.000
5.207 1.813 0.000
-0.198 0.000 5.146
2.590 0.000 3.061
5.010 1.813 5.146
7.797 1.813 3.061
0.295 1.813 2.958
5.503 0.000 2.958
```

Record 7
Below is a relaxed structure of KLa2Be, with properties calculated at the GGA-PBE level.

Summary:
Its energy relative to the elements is 340 meV per atom. As for the space group: R-3m. The value obtained for the density of states at the Fermi level is 1.19 states/eV/atom. The calculation puts the magnetization at 0.000 μB/f.u.

```
KLa2Be
1.0
3.840 0.000 0.000
-1.920 3.325 0.000
0.000 0.000 35.014
K La Be
3 6 3
Cartesian
0.000 0.000 0.000
0.000 2.217 23.342
1.920 1.108 11.671
0.000 0.000 7.743
0.000 0.000 27.271
0.000 2.217 15.600
0.000 2.217 31.085
1.920 1.108 3.929
1.920 1.108 19.414
0.000 0.000 17.507
0.000 2.217 5.836
1.920 1.108 29.178
```

Record 8
Below is a relaxed structure of KLa2Be, with properties calculated at the GGA-PBE level.

Summary:
Its energy relative to the elements is 724 meV per atom. As for the space group: C2/m. The value obtained for the density of states at the Fermi level is 1.15 states/eV/atom. The calculation puts the magnetization at 0.001 μB/f.u.

```
KLa2Be
1.0
6.821 0.000 0.000
0.000 11.687 0.000
-1.486 0.000 3.216
K La Be
2 4 2
Cartesian
0.000 0.000 0.000
3.411 5.844 0.000
0.962 2.922 1.608
0.962 8.765 1.608
4.373 2.922 1.608
4.373 8.765 1.608
0.000 5.844 0.000
3.411 0.000 0.000
```

Please write out number 4 again, unchanged.
Below is a relaxed structure of KLaBe3, with properties calculated at the GGA-PBE level.

Summary:
The calculation puts the energy above the lowest structure with this stoichiometry at 0 meV per atom. Its energy relative to the elements is 1504 meV per atom. As for the space group: Pm-3m. The value obtained for the density of states at the Fermi level is 1.22 states/eV/atom. The calculation puts the magnetization at 0.000 μB/f.u.

```
KLaBe3
1.0
5.534 0.000 0.000
0.000 5.534 0.000
0.000 0.000 5.534
K La Be
1 1 3
Cartesian
0.000 0.000 0.000
2.767 2.767 2.767
0.000 2.767 2.767
2.767 0.000 2.767
2.767 2.767 0.000
```